This record from Alexandria describes a relaxed TaTcTe2 crystal. The functional is PBE.

a b c (Å): 4.758 4.758 4.758
angles (deg): 60.00 60.00 60.00
Element x y z (fractional)
Te: 0.250 0.250 0.250
Te: 0.750 0.750 0.750
Ta: 0.500 0.500 0.500
Tc: 0.000 0.000 0.000

Computed properties:
* SG: Fm-3m, No. 225
* formation energy without anion corrections: 0.28 eV per atom